(1)
# Ta3Re

A relaxed Ta3Re crystal (GGA-PBEsol, the Alexandria database).

The space group is Cmcm (No. 63) and the conventional cell measures 8.999, 6.454 and 4.577 Å, with angles of 90.00, 90.00 and 90.00 degrees. The inequivalent atoms are Ta at (0.000, 0.130, 0.250), Ta at (0.249, 0.124, 0.750) and Re at (0.000, 0.376, 0.750).

The calculation puts the electronic total energy at -206.821 eV/cell. Its total magnetization is 0.00 μB/f.u. The density of states at the Fermi level comes out at 12.77 states/eV/cell.

(2)
# Ta3Re

A relaxed Ta3Re crystal (GGA-PBEsol, the Alexandria database).

The space group is Fm-3m (No. 225) and the conventional cell measures 6.425, 6.425 and 6.425 Å, with angles of 90.00, 90.00 and 90.00 degrees. The inequivalent atoms are Ta at (0.000, 0.000, 0.000), Ta at (0.250, 0.250, 0.250) and Re at (0.000, 0.000, 0.500).

The calculation puts the electronic total energy at -207.535 eV/cell. Its total magnetization is 0.00 μB/f.u. The density of states at the Fermi level comes out at 12.02 states/eV/cell.

(3)
# Ta5Re24

A relaxed Ta5Re24 crystal (GGA-PBEsol, the Alexandria database).

The space group is I-43m (No. 217) and the conventional cell measures 9.603, 9.603 and 9.603 Å, with angles of 90.00, 90.00 and 90.00 degrees. The inequivalent atoms are Ta at (0.000, 0.000, 0.000), Ta at (0.183, 0.183, 0.183), Re at (0.042, 0.359, 0.641) and Re at (0.092, 0.092, 0.715).

The calculation puts the electronic total energy at -774.130 eV/cell. Its total magnetization is 0.00 μB/f.u. The density of states at the Fermi level comes out at 66.66 states/eV/cell.

(4)
# Ta2Re3

A relaxed Ta2Re3 crystal (GGA-PBEsol, the Alexandria database).

The space group is R-3m (No. 166, hexagonal axes) and the conventional cell measures 2.9141, 2.9141 and 32.6946 Å, with angles of 90.00, 90.00 and 120.00 degrees. The inequivalent atoms are Ta at (0.0000, 0.0000, 0.1008), Re at (0.0000, 0.0000, 0.3019) and Re at (0.0000, 0.0000, 0.5000).

The calculation puts the electronic total energy at -193.056 eV/cell. Its total magnetization is 0.00 μB/f.u. The density of states at the Fermi level comes out at 13.73 states/eV/cell.

(5)
# Ta3Re

A relaxed Ta3Re crystal (GGA-PBEsol, the Alexandria database).

The space group is Immm (No. 71) and the conventional cell measures 3.200, 4.527 and 9.206 Å, with angles of 90.00, 90.00 and 90.00 degrees. The inequivalent atoms are Ta at (0.000, 0.000, 0.000), Ta at (0.000, 0.500, 0.242) and Re at (0.000, 0.000, 0.500).

The calculation puts the electronic total energy at -103.989 eV/cell. Its total magnetization is 0.00 μB/f.u. The density of states at the Fermi level comes out at 5.56 states/eV/cell.

(6)
# Ta2Re

A relaxed Ta2Re crystal (GGA-PBEsol, the Alexandria database).

The space group is Cmcm (No. 63) and the conventional cell measures 3.191, 13.677 and 4.509 Å, with angles of 90.00, 90.00 and 90.00 degrees. The inequivalent atoms are Ta at (0.000, 0.080, 0.250), Ta at (0.000, 0.245, 0.750) and Re at (0.000, 0.417, 0.250).

The calculation puts the electronic total energy at -157.708 eV/cell. Its total magnetization is 0.00 μB/f.u. The density of states at the Fermi level comes out at 5.00 states/eV/cell.